Entry from Alexandria via LeMat-Bulk: a relaxed structure of CrGeN2F (PBE+U).

Output
Total magnetic moment = 0.70 μB/atom
E above lowest polymorph = 0.033 eV per atom
Final energy = -5.96 eV/atom
SG = No. 123

a = 3.8012 Å, b = 3.8012 Å, c = 3.8735 Å
α = 90.00°, β = 90.00°, γ = 90.00°
Closest atoms and distances in Å follow each position.
Fractional coordinates of all 5 atoms:
1 N 0.5000 0.0000 0.0000  2 Ge 1.90
2 N 0.0000 0.5000 0.0000  2 Ge 1.90
3 Ge 0.0000 0.0000 0.0000  4 N 1.90, 2 F 1.94
4 F 0.0000 0.0000 0.5000  2 Ge 1.94
5 Cr 0.5000 0.5000 0.5000  4 F 2.69, 8 N 2.71